[1]
SmDy8In6: optimized geometry, PBE.

abc: 9.0594 9.0594 8.3314
angles: 57.06 57.06 60.00
With the nearest neighbours (Å) after each atom.
Fractional coordinates of all 15 atoms:
1 In 0.2775 0.6047 0.1771  7 Dy 3.13-3.35, 1 Sm 3.26
2 In 0.7225 0.3953 0.8229  7 Dy 3.13-3.35, 1 Sm 3.26
3 Dy 0.2200 0.8866 0.3397  5 In 3.13-3.35
4 In 0.3953 0.0593 0.8229  7 Dy 3.13-3.35, 1 Sm 3.26
5 Dy 0.7800 0.1134 0.6603  5 In 3.13-3.35
6 Dy 0.6671 0.6671 0.9987  6 In 3.22
7 Dy 0.1134 0.4463 0.6603  5 In 3.13-3.35
8 In 0.9407 0.2775 0.1771  7 Dy 3.13-3.35, 1 Sm 3.26
9 In 0.0593 0.7225 0.8229  7 Dy 3.13-3.35, 1 Sm 3.26
10 Dy 0.3329 0.3329 0.0013  6 In 3.22
11 In 0.6047 0.9407 0.1771  7 Dy 3.13-3.35, 1 Sm 3.26
12 Dy 0.8866 0.5537 0.3397  5 In 3.13-3.35
13 Dy 0.4463 0.7800 0.6603  5 In 3.13-3.35
14 Sm 0.0000 0.0000 0.0000  6 In 3.26
15 Dy 0.5537 0.2200 0.3397  5 In 3.13-3.35

Values from the calculation:
SG: R-3
Total moment in μB/cell: 0.00
Energy of formation from the pure elements in eV per atom: -0.213



[2]
SmDy3In: optimized geometry, PBE.

abc: 4.8492 4.8400 12.8432
angles: 90.00 79.12 90.00
With the nearest neighbours (Å) after each atom.
Fractional coordinates of all 10 atoms:
1 Dy 0.0742 0.7500 0.4998  4 Dy 3.43, 4 In 3.44, 4 Sm 3.52
2 Dy 0.8760 0.7500 0.8963  8 Dy 3.43-3.56, 2 Sm 3.44, 2 In 3.52
3 Dy 0.7723 0.2500 0.1037  8 Dy 3.43-3.56, 2 Sm 3.44, 2 In 3.52
4 Sm 0.4728 0.7500 0.7027  4 In 3.43, 8 Dy 3.44-3.52
5 Dy 0.5741 0.2500 0.5002  4 Dy 3.43, 4 In 3.44, 4 Sm 3.52
6 In 0.9776 0.2500 0.6932  4 Sm 3.43, 8 Dy 3.44-3.59
7 Dy 0.2757 0.7500 0.0969  8 Dy 3.43-3.50, 2 Sm 3.50, 2 In 3.59
8 Dy 0.3726 0.2500 0.9031  8 Dy 3.43-3.50, 2 Sm 3.50, 2 In 3.59
9 Sm 0.1755 0.2500 0.2973  4 In 3.43, 8 Dy 3.44-3.52
10 In 0.6708 0.7500 0.3068  4 Sm 3.43, 8 Dy 3.44-3.59

Values from the calculation:
SG: Cmcm
Offset from the most stable computed form in meV per atom: 0
Total moment in μB/cell: 0.00
Energy of formation from the pure elements in eV per atom: -0.181



[3]
Sm5Dy12In2: optimized geometry, PBE.

abc: 9.3111 12.0964 8.3804
angles: 131.96 90.00 112.64
With the nearest neighbours (Å) after each atom.
Fractional coordinates of all 19 atoms:
1 Dy 0.0387 0.7092 0.9450  1 In 3.20, 4 Dy 3.36-3.58, 1 Sm 3.56
2 Dy 0.5671 0.7472 0.4153  5 Dy 3.31-3.60, 4 Sm 3.39-3.70, 1 In 3.46
3 In 0.3215 0.0000 0.0000  8 Dy 3.20-3.46, 1 In 3.32, 2 Sm 3.41
4 Dy 0.1800 0.7472 0.4153  5 Dy 3.31-3.60, 4 Sm 3.39-3.70, 1 In 3.46
5 Dy 0.5539 0.1079 0.7822  2 In 3.28, 7 Dy 3.31-3.53, 2 Sm 3.35-3.46
6 Sm 0.2332 0.4664 0.8887  8 Dy 3.35-3.56, 2 Sm 3.58-3.63
7 Dy 0.4461 0.8921 0.2178  2 In 3.28, 7 Dy 3.31-3.53, 2 Sm 3.35-3.46
8 Sm 0.3068 0.6136 0.6250  2 In 3.41, 8 Dy 3.46-3.71, 1 Sm 3.58
9 Dy 0.3294 0.2908 0.0550  1 In 3.20, 4 Dy 3.36-3.58, 1 Sm 3.56
10 Dy 0.8200 0.2528 0.5847  5 Dy 3.31-3.60, 4 Sm 3.39-3.70, 1 In 3.46
11 Dy 0.6706 0.7092 0.9450  1 In 3.20, 4 Dy 3.36-3.58, 1 Sm 3.56
12 Dy 0.4329 0.2528 0.5847  5 Dy 3.31-3.60, 4 Sm 3.39-3.70, 1 In 3.46
13 Dy 0.9206 0.8412 0.7227  5 Dy 3.21-3.54, 3 Sm 3.38-3.58, 2 In 3.40
14 Sm 0.6932 0.3864 0.3750  2 In 3.41, 8 Dy 3.46-3.71, 1 Sm 3.58
15 Sm 0.7668 0.5336 0.1113  8 Dy 3.35-3.56, 2 Sm 3.58-3.63
16 Dy 0.9613 0.2908 0.0550  1 In 3.20, 4 Dy 3.36-3.58, 1 Sm 3.56
17 Dy 0.0794 0.1588 0.2773  5 Dy 3.21-3.54, 3 Sm 3.38-3.58, 2 In 3.40
18 Sm 0.0000 0.0000 0.5000  10 Dy 3.38-3.70, 2 Sm 3.63
19 In 0.6785 0.0000 0.0000  8 Dy 3.20-3.46, 1 In 3.32, 2 Sm 3.41

Values from the calculation:
SG: C2/m
Total moment in μB/cell: 0.00
Energy of formation from the pure elements in eV per atom: -0.011



[4]
SmDy6In2: optimized geometry, PBE.

abc: 5.6506 5.6506 11.2459
angles: 104.55 104.55 90.00
With the nearest neighbours (Å) after each atom.
Fractional coordinates of all 9 atoms:
1 Dy 0.8739 0.2604 0.1343  1 Sm 2.83, 1 In 3.02, 1 Dy 3.09
2 Sm 0.5000 0.5000 0.0000  4 Dy 2.83
3 In 0.8095 0.8095 0.6190  6 Dy 3.02-3.09
4 Dy 0.2500 0.7500 0.5000  4 In 3.09
5 Dy 0.2604 0.8739 0.1343  1 Sm 2.83, 1 In 3.02, 1 Dy 3.09
6 Dy 0.7500 0.2500 0.5000  4 In 3.09
7 In 0.1905 0.1905 0.3810  6 Dy 3.02-3.09
8 Dy 0.7396 0.7396 0.8657  1 Sm 2.83, 1 In 3.02, 1 Dy 3.09
9 Dy 0.1261 0.1261 0.8657  1 Sm 2.83, 1 In 3.02, 1 Dy 3.09

Values from the calculation:
SG: I-42m
Offset from the most stable computed form in meV per atom: 747
Total moment in μB/cell: 0.00
Energy of formation from the pure elements in eV per atom: 0.547